Record 1
Li2ZnHgO: optimized geometry, PBE.

Structure (POSCAR):
```
Li2ZnHgO
1.0
-2.7701 -2.9106 2.8902
-1.0838 -2.7895 -3.8480
3.9514 -2.8292 0.9381
Zn Hg O Li
1 1 1 2
Cartesian
-0.5419 -1.3947 -1.9240
0.0000 0.0000 0.0000
0.0488 -4.2647 -0.0099
1.9757 -1.4146 0.4690
-1.3851 -1.4553 1.4451
```

Values from the calculation:
**E_form (uncorrected)**: 0.38 eV per atom
**Total energy**: -1.697 eV/atom

=====

Record 2
Li2ZrHgO: optimized geometry, PBE.

Structure (POSCAR):
```
Li2ZrHgO
1.0
-1.1440 4.1072 -0.5003
-3.8160 -0.8468 1.7746
1.5851 0.9096 3.8425
O Hg Zr Li
1 1 1 2
Cartesian
0.0000 0.0000 0.0000
-1.6875 2.0850 2.5584
0.7926 0.4548 1.9213
-1.9080 -0.4234 0.8873
-0.5720 2.0536 -0.2502
```

Values from the calculation:
**E_form (uncorrected)**: -1.09 eV per atom
**Total energy**: -4.621 eV/atom

=====

Record 3
LiZr2HgO: optimized geometry, PBE.

Structure (POSCAR):
```
LiZr2HgO
1.0
-4.1559 -0.9261 -1.3639
0.9326 -4.3708 0.1259
-1.2648 -0.1558 3.9599
O Hg Zr Li
1 1 2 1
Cartesian
0.0000 0.0000 0.0000
-2.2440 -2.7263 1.3610
0.4663 -2.1854 0.0630
-2.0779 -0.4630 -0.6819
-0.6324 -0.0779 1.9799
```

Values from the calculation:
**E_form (uncorrected)**: -1.17 eV per atom
**Total energy**: -6.025 eV/atom

=====

Record 4
LiHgOs2: optimized geometry, PBE.

Structure (POSCAR):
```
LiHgOs2
1.0
5.4799 -0.0065 0.0131
2.9095 4.6437 -0.0131
-3.6693 -3.2692 2.4245
Hg Li Os
1 1 2
Cartesian
3.0027 -0.4786 1.2188
1.7175 1.8466 1.2057
0.0455 0.0252 0.0000
4.1492 2.2934 0.0000
```

Values from the calculation:
**Total energy**: -5.639 eV/atom
**Formation energy**: 51.1 kJ/mol of atoms

=====

Record 5
LiHgOs2: optimized geometry, PBE.

Structure (POSCAR):
```
LiHgOs2
1.0
3.7763 0.0000 0.0000
0.0000 3.7763 0.0000
1.8881 1.8881 9.6752
Os Hg Li
4 2 2
Cartesian
2.6022 0.9441 2.4188
1.1741 2.8322 2.4188
2.8322 3.0622 7.2564
4.7204 4.4903 7.2564
0.0000 0.0000 0.0000
3.7763 1.8881 4.8376
1.8881 1.8881 0.0000
1.8881 3.7763 4.8376
```

Values from the calculation:
**Total energy**: -5.464 eV/atom
**Formation energy**: 68.0 kJ/mol of atoms

=====

Record 6
LiHgOs2: optimized geometry, PBE.

Structure (POSCAR):
```
LiHgOs2
1.0
-1.8775 2.8562 -1.6449
-2.3929 -1.4784 0.1642
-3.4718 0.8378 5.4178
Hg Li Os
1 1 2
Cartesian
-2.9653 -0.2562 2.9398
-5.3360 0.9431 3.3547
-2.4154 -1.4256 0.2816
-2.3508 1.1556 0.3162
```

Values from the calculation:
**Total energy**: -5.911 eV/atom
**Formation energy**: 24.9 kJ/mol of atoms

=====

Record 7
LiHg4Os: optimized geometry, PBE.

Structure (POSCAR):
```
LiHg4Os
1.0
0.0000 4.0066 4.0066
4.0066 0.0000 4.0066
4.0066 4.0066 0.0000
Li Hg Os
1 4 1
Cartesian
6.0099 6.0099 6.0099
3.0028 5.0104 5.0104
5.0104 5.0104 3.0028
5.0104 3.0028 5.0104
3.0028 3.0028 3.0028
0.0000 0.0000 0.0000
```

Values from the calculation:
**Total energy**: -1.602 eV/atom
**Formation energy**: 76.2 kJ/mol of atoms

=====

Record 8
LiHgOs2: optimized geometry, PBE.

Structure (POSCAR):
```
LiHgOs2
1.0
4.4353 0.0000 0.0000
0.1230 4.4335 0.0000
-2.2791 -2.2167 3.0924
Hg Li Os
1 1 2
Cartesian
2.2791 2.2168 0.0000
2.2176 0.0000 1.5462
0.0000 0.0000 0.0000
0.0615 2.2168 1.5462
```

Values from the calculation:
**Total energy**: -5.641 eV/atom
**Formation energy**: 50.9 kJ/mol of atoms

=====

What is the total energy in the first record?
-1.697 eV/atom

=====

Which of these has the lowest total energy?
LiZr2HgO

=====

Look up the total energy of the sixth one.
-5.911 eV/atom